*A*
## HfFeN2F (PBE with a Hubbard U)

Data for crystalline HfFeN2F at its relaxed geometry.

Density (g/cm3): 9.0
Crystal system: tetragonal

Cell lengths 3.823, 3.823, 3.560 Å; angles 90.00, 90.00, 90.00 degrees
Space group P4/mmm (No. 123)
Unique sites:
Hf: 0.000 0.000 0.000 x1
Fe: 0.500 0.500 0.500 x1
N: 0.000 0.500 0.500 x2
F: 0.500 0.500 0.000 x1

***

*B*
## HfFeN2F (PBE with a Hubbard U)

Data for crystalline HfFeN2F at its relaxed geometry.

Density (g/cm3): 6.6
Crystal system: tetragonal

Cell lengths 4.188, 4.188, 4.043 Å; angles 90.00, 90.00, 90.00 degrees
Space group P4/mmm (No. 123)
Unique sites:
Hf: 0.000 0.000 0.000 x1
Fe: 0.500 0.500 0.500 x1
N: 0.000 0.500 0.000 x2
F: 0.000 0.000 0.500 x1

***

It turns out *B* is the most stable, with the second structure 393 meV/atom higher.

***

*A*
## HfFeOF2 (PBE with a Hubbard U)

Data for crystalline HfFeOF2 at its relaxed geometry.

Density (g/cm3): 7.3
Crystal system: tetragonal

Cell lengths 4.046, 4.046, 4.022 Å; angles 90.00, 90.00, 90.00 degrees
Space group P4/mmm (No. 123)
Unique sites:
Hf: 0.000 0.000 0.000 x1
Fe: 0.500 0.500 0.500 x1
O: 0.500 0.500 0.000 x1
F: 0.000 0.500 0.500 x2

***

*B*
## HfFeOF2 (PBE with a Hubbard U)

Data for crystalline HfFeOF2 at its relaxed geometry.

Density (g/cm3): 6.6
Crystal system: tetragonal

Cell lengths 4.251, 4.251, 4.044 Å; angles 90.00, 90.00, 90.00 degrees
Space group P4/mmm (No. 123)
Unique sites:
Hf: 0.000 0.000 0.000 x1
Fe: 0.500 0.500 0.500 x1
O: 0.000 0.000 0.500 x1
F: 0.000 0.500 0.000 x2

***

It turns out *B* is the most stable, with the second structure 718 meV/atom higher.

***

*A*
## Fe3HgF (PBE with a Hubbard U)

Data for crystalline Fe3HgF at its relaxed geometry.

Density (g/cm3): 4.7
Crystal system: cubic

Cell lengths 5.140, 5.140, 5.140 Å; angles 90.00, 90.00, 90.00 degrees
Space group Pm-3m (No. 221)
Unique sites:
Fe: 0.000 0.000 0.500 x3
Hg: 0.000 0.000 0.000 x1
F: 0.500 0.500 0.500 x1

***

*B*
## Fe3HgF (PBE with a Hubbard U)

Data for crystalline Fe3HgF at its relaxed geometry.

Density (g/cm3): 8.3
Crystal system: cubic

Cell lengths 4.258, 4.258, 4.258 Å; angles 90.00, 90.00, 90.00 degrees
Space group Pm-3m (No. 221)
Unique sites:
Fe: 0.000 0.000 0.500 x3
Hg: 0.500 0.500 0.500 x1
F: 0.000 0.000 0.000 x1

***

It turns out *B* is the most stable, with the second structure 325 meV/atom higher.

***

*A*
## Fe2HgF8 (PBE with a Hubbard U)

Data for crystalline Fe2HgF8 at its relaxed geometry.

Density (g/cm3): 5.1
Crystal system: monoclinic

Cell lengths 11.981, 5.389, 4.993 Å; angles 90.00, 110.14, 90.00 degrees
Space group C2/m (No. 12)
Unique sites:
Fe: 0.233 0.000 0.306 x4
Hg: 0.000 0.500 0.000 x2
F: 0.106 0.000 0.969 x4
F: 0.145 0.259 0.449 x8
F: 0.171 0.500 0.952 x4

***

*B*
## Fe2HgF8 (PBE with a Hubbard U)

Data for crystalline Fe2HgF8 at its relaxed geometry.

Density (g/cm3): 5.2
Crystal system: monoclinic

Cell lengths 8.392, 6.424, 5.570 Å; angles 90.00, 98.95, 90.00 degrees
Space group C2/m (No. 12)
Unique sites:
Fe: 0.183 0.000 0.451 x4
Hg: 0.000 0.500 0.000 x2
F: 0.056 0.000 0.717 x4
F: 0.142 0.309 0.355 x8
F: 0.217 0.500 0.838 x4

***

It turns out *B* is the most stable, with the second structure 62 meV/atom higher.

***

*A*
## FeHgNF2 (PBE with a Hubbard U)

Data for crystalline FeHgNF2 at its relaxed geometry.

Density (g/cm3): 6.1
Crystal system: tetragonal

Cell lengths 4.495, 4.495, 4.176 Å; angles 90.00, 90.00, 90.00 degrees
Space group P4/mmm (No. 123)
Unique sites:
Fe: 0.000 0.000 0.000 x1
Hg: 0.500 0.500 0.500 x1
N: 0.500 0.500 0.000 x1
F: 0.000 0.500 0.500 x2

***

*B*
## FeHgNF2 (PBE with a Hubbard U)

Data for crystalline FeHgNF2 at its relaxed geometry.

Density (g/cm3): 7.7
Crystal system: tetragonal

Cell lengths 3.926, 3.926, 4.304 Å; angles 90.00, 90.00, 90.00 degrees
Space group P4/mmm (No. 123)
Unique sites:
Fe: 0.000 0.000 0.000 x1
Hg: 0.500 0.500 0.500 x1
N: 0.000 0.000 0.500 x1
F: 0.000 0.500 0.000 x2

***

It turns out *B* is the most stable, with the second structure 911 meV/atom higher.

***

*A*
## FeHgOF2 (PBE with a Hubbard U)

Data for crystalline FeHgOF2 at its relaxed geometry.

Density (g/cm3): 7.7
Crystal system: tetragonal

Cell lengths 4.146, 4.146, 3.908 Å; angles 90.00, 90.00, 90.00 degrees
Space group P4/mmm (No. 123)
Unique sites:
Fe: 0.000 0.000 0.000 x1
Hg: 0.500 0.500 0.500 x1
O: 0.000 0.000 0.500 x1
F: 0.000 0.500 0.000 x2

***

*B*
## FeHgOF2 (PBE with a Hubbard U)

Data for crystalline FeHgOF2 at its relaxed geometry.

Density (g/cm3): 6.0
Crystal system: tetragonal

Cell lengths 4.503, 4.503, 4.254 Å; angles 90.00, 90.00, 90.00 degrees
Space group P4/mmm (No. 123)
Unique sites:
Fe: 0.000 0.000 0.000 x1
Hg: 0.500 0.500 0.500 x1
O: 0.500 0.500 0.000 x1
F: 0.000 0.500 0.500 x2

***

It turns out *A* is the most stable, with the second structure 883 meV/atom higher.